Computed, not measured: an optimized crystal structure of Pm5Y3Ag2 at the PBE-GGA level of DFT.

abc: 10.528 10.528 10.528
angles: 113.22 79.05 142.72
Fractional coordinates of all 20 atoms:
Pm 0.055 0.250 0.805
Pm 0.064 0.231 0.295
Pm 0.250 0.250 0.000
Pm 0.436 0.731 0.168
Pm 0.445 0.250 0.195
Pm 0.555 0.750 0.805
Pm 0.564 0.269 0.832
Pm 0.750 0.750 0.000
Pm 0.936 0.769 0.705
Pm 0.945 0.750 0.195
Y 0.168 0.718 0.885
Y 0.250 0.750 0.500
Y 0.332 0.218 0.550
Y 0.668 0.782 0.450
Y 0.750 0.250 0.500
Y 0.832 0.282 0.115
Ag 0.157 0.447 0.604
Ag 0.343 0.947 0.290
Ag 0.657 0.053 0.710
Ag 0.843 0.553 0.396

Summary:
VASP energy	-47.67	eV per formula unit
space-group type	Ibam (72)
ΔH_f (0 K)	0.118	eV/atom
size of the total moment	0.00	μB per formula unit
ρ	6.333	g/cm3

---

Computed, not measured: an optimized crystal structure of Dy2Ho2InGa4 at the PBE-GGA level of DFT.

abc: 6.772 6.772 6.772
angles: 117.04 117.04 95.21
Fractional coordinates of all 9 atoms:
Dy 0.185 0.185 0.000
Dy 0.815 0.815 0.000
Ho 0.250 0.750 0.500
Ho 0.750 0.250 0.500
In 0.500 0.500 0.000
Ga 0.238 0.238 0.476
Ga 0.238 0.762 0.000
Ga 0.762 0.238 0.000
Ga 0.762 0.762 0.524

Summary:
VASP energy	-34.53	eV per formula unit
space-group type	I4/mmm (139)
ΔH_f (0 K)	-0.147	eV/atom
size of the total moment	0.00	μB per formula unit
ρ	7.623	g/cm3

---

Computed, not measured: an optimized crystal structure of VIr3I at the PBE-GGA level of DFT.

abc: 4.627 4.627 4.627
angles: 90.00 90.00 90.00
Fractional coordinates of all 5 atoms:
V 0.000 0.000 0.000
Ir 0.000 0.000 0.500
Ir 0.000 0.500 0.000
Ir 0.500 0.000 0.000
I 0.500 0.500 0.500

Summary:
VASP energy	-30.29	eV per formula unit
E above lowest polymorph	0	meV/atom
space-group type	Pm-3m (221)
size of the total moment	0.00	μB per formula unit
formation energy from raw total energies	1.392	eV/atom
ρ	12.646	g/cm3

---

Computed, not measured: an optimized crystal structure of LiPm2F6 at the PBE-GGA level of DFT.

abc: 5.971 5.753 9.924
angles: 90.00 126.33 90.00
Fractional coordinates of all 18 atoms:
Li 0.000 0.000 0.000
Li 0.000 0.500 0.500
Pm 0.246 0.055 0.771
Pm 0.246 0.445 0.271
Pm 0.754 0.555 0.729
Pm 0.754 0.945 0.229
F 0.073 0.230 0.401
F 0.073 0.270 0.901
F 0.148 0.710 0.414
F 0.148 0.790 0.914
F 0.399 0.090 0.232
F 0.399 0.410 0.732
F 0.601 0.590 0.268
F 0.601 0.910 0.768
F 0.852 0.210 0.086
F 0.852 0.290 0.586
F 0.927 0.730 0.099
F 0.927 0.770 0.599

Summary:
VASP energy	-54.40	eV per formula unit
space-group type	P2_1/c (14)
size of the total moment	0.99	μB per formula unit
formation energy from raw total energies	-3.529	eV/atom
ρ	4.968	g/cm3

---

Computed, not measured: an optimized crystal structure of Zr2RhCl at the PBE-GGA level of DFT.

abc: 4.914 4.914 4.914
angles: 132.73 114.99 84.20
Fractional coordinates of all 4 atoms:
Zr 0.248 0.248 0.000
Zr 0.752 0.752 0.000
Rh 0.500 0.000 0.500
Cl 0.000 0.500 0.500

Summary:
VASP energy	-28.12	eV per formula unit
E above lowest polymorph	275	meV/atom
space-group type	Immm (71)
size of the total moment	0.00	μB per formula unit
formation energy from raw total energies	-0.457	eV/atom
ρ	7.023	g/cm3

---

Computed, not measured: an optimized crystal structure of CdWCl2 at the PBE-GGA level of DFT.

abc: 3.025 4.582 6.480
angles: 90.00 92.75 90.00
Fractional coordinates of all 4 atoms:
Cd 0.000 0.000 0.000
W 0.473 0.500 0.742
Cl 0.460 0.000 0.613
Cl 0.942 0.500 0.445

Summary:
VASP energy	-16.76	eV per formula unit
E above lowest polymorph	273	meV/atom
space-group type	Pm (6)
size of the total moment	0.00	μB per formula unit
formation energy from raw total energies	0.201	eV/atom
ρ	6.796	g/cm3

---

Computed, not measured: an optimized crystal structure of ScTe2Pb at the PBE-GGA level of DFT.

abc: 8.078 8.078 8.078
angles: 152.14 150.28 41.19
Fractional coordinates of all 4 atoms:
Sc 0.000 0.000 0.000
Te 0.146 0.646 0.500
Te 0.430 0.430 0.000
Pb 0.748 0.248 0.500

Summary:
VASP energy	-19.01	eV per formula unit
space-group type	Imm2 (44)
size of the total moment	0.00	μB per formula unit
formation energy from raw total energies	-0.672	eV/atom
ρ	6.915	g/cm3

---

Computed, not measured: an optimized crystal structure of MgBi at the PBE-GGA level of DFT.

abc: 5.136 9.010 9.010
angles: 23.78 90.00 90.00
Fractional coordinates of all 6 atoms:
Mg 0.000 0.000 0.000
Mg 0.000 0.346 0.346
Mg 0.500 0.460 0.460
Bi 0.000 0.694 0.694
Bi 0.500 0.100 0.100
Bi 0.500 0.817 0.817

Summary:
VASP energy	-5.52	eV per formula unit
space-group type	Amm2 (38)
ΔH_f (0 K)	-0.023	eV/atom
size of the total moment	0.00	μB per formula unit
ρ	6.914	g/cm3

---

Computed, not measured: an optimized crystal structure of ZrTlInBr6 at the PBE-GGA level of DFT.

abc: 7.870 7.870 13.235
angles: 90.00 90.00 120.00
Fractional coordinates of all 18 atoms:
Zr 0.333 0.667 0.250
Zr 0.667 0.333 0.750
Tl 0.000 0.000 0.000
Tl 0.000 0.000 0.500
In 0.333 0.667 0.750
In 0.667 0.333 0.250
Br 0.056 0.392 0.134
Br 0.056 0.664 0.366
Br 0.336 0.392 0.366
Br 0.336 0.944 0.134
Br 0.392 0.056 0.634
Br 0.392 0.336 0.866
Br 0.608 0.664 0.134
Br 0.608 0.944 0.366
Br 0.664 0.056 0.866
Br 0.664 0.608 0.634
Br 0.944 0.336 0.634
Br 0.944 0.608 0.866

Summary:
VASP energy	-33.81	eV per formula unit
space-group type	P-31c (163)
size of the total moment	0.00	μB per formula unit
formation energy from raw total energies	-1.124	eV/atom
ρ	4.163	g/cm3

---

Computed, not measured: an optimized crystal structure of Sr4CaAg at the PBE-GGA level of DFT.

abc: 9.266 9.266 7.141
angles: 100.70 100.70 110.08
Fractional coordinates of all 12 atoms:
Sr 0.061 0.723 0.945
Sr 0.183 0.366 0.631
Sr 0.277 0.939 0.555
Sr 0.366 0.183 0.131
Sr 0.634 0.817 0.869
Sr 0.723 0.061 0.445
Sr 0.817 0.634 0.369
Sr 0.939 0.277 0.055
Ca 0.388 0.612 0.250
Ca 0.612 0.388 0.750
Ag 0.000 0.000 0.250
Ag 0.000 0.000 0.750

Summary:
VASP energy	-11.96	eV per formula unit
E above lowest polymorph	19	meV/atom
space-group type	C2/c (15)
ΔH_f (0 K)	-0.063	eV/atom
size of the total moment	0.00	μB per formula unit
ρ	3.038	g/cm3

---

Computed, not measured: an optimized crystal structure of Tl2AgAu2 at the PBE-GGA level of DFT.

abc: 8.763 8.763 8.763
angles: 154.60 154.60 36.23
Fractional coordinates of all 5 atoms:
Tl 0.101 0.101 0.000
Tl 0.899 0.899 0.000
Ag 0.500 0.500 0.000
Au 0.250 0.750 0.500
Au 0.750 0.250 0.500

Summary:
VASP energy	-13.61	eV per formula unit
E above lowest polymorph	55	meV/atom
space-group type	I4/mmm (139)
ΔH_f (0 K)	0.106	eV/atom
size of the total moment	0.00	μB per formula unit
ρ	12.226	g/cm3

---

Computed, not measured: an optimized crystal structure of Sm10HoEr6 at the PBE-GGA level of DFT.

abc: 9.731 9.731 6.840
angles: 90.00 90.00 120.00
Fractional coordinates of all 17 atoms:
Sm 0.000 0.275 0.315
Sm 0.000 0.725 0.685
Sm 0.275 0.000 0.315
Sm 0.275 0.275 0.685
Sm 0.333 0.667 0.000
Sm 0.333 0.667 0.500
Sm 0.667 0.333 0.000
Sm 0.667 0.333 0.500
Sm 0.725 0.000 0.685
Sm 0.725 0.725 0.315
Ho 0.000 0.000 0.000
Er 0.000 0.372 0.808
Er 0.000 0.628 0.192
Er 0.372 0.000 0.808
Er 0.372 0.372 0.192
Er 0.628 0.000 0.192
Er 0.628 0.628 0.808

Summary:
VASP energy	-76.97	eV per formula unit
space-group type	P-31m (162)
ΔH_f (0 K)	0.128	eV/atom
size of the total moment	0.00	μB per formula unit
ρ	7.911	g/cm3